First-principles (GGA-PBEsol) data for Na6P4W after structural relaxation, as listed in Alexandria.

a b c (Å): 9.082 9.082 7.091
angles (deg): 90.00 90.00 120.00
Fractional positions:
Na 0.064 0.532 0.000
Na 0.147 0.294 0.679
Na 0.147 0.853 0.679
Na 0.294 0.147 0.179
Na 0.468 0.532 0.000
Na 0.468 0.936 0.000
Na 0.532 0.064 0.500
Na 0.532 0.468 0.500
Na 0.706 0.853 0.679
Na 0.853 0.147 0.179
Na 0.853 0.706 0.179
Na 0.936 0.468 0.500
P 0.194 0.388 0.285
P 0.194 0.806 0.285
P 0.333 0.667 0.711
P 0.388 0.194 0.785
P 0.612 0.806 0.285
P 0.667 0.333 0.211
P 0.806 0.194 0.785
P 0.806 0.612 0.785
W 0.333 0.667 0.387
W 0.667 0.333 0.887

Calculated values
- calculated volume (Å³/atom) = 23.02
- energy relative to the elements (kJ/mol of atoms) = -35.7
- space group = P6_3mc (186)